A plane-wave DFT calculation with PBE with a Hubbard U was carried out for an optimized crystal structure of AsWSe2O. Values from VASP.

* total magnetic moment: 1.73 μB/f.u.
* energy above the lowest structure with this stoichiometry: 0 meV per atom
* calculated volume: 20.50 Å³/atom
* energy: -4.94 eV/atom

Geometry as Quantum ESPRESSO input:
```
&SYSTEM
  ibrav = 0, nat = 5, ntyp = 4
/
ATOMIC_SPECIES
As 74.92 As.upf
W 183.84 W.upf
Se 78.96 Se.upf
O 16.00 O.upf
CELL_PARAMETERS angstrom
-2.494 4.207 1.701
-3.181 -2.069 0.455
1.422 -1.119 4.852
ATOMIC_POSITIONS crystal
As 0.500 0.500 0.500
W 0.000 0.000 0.000
Se 0.000 0.000 0.500
Se 0.500 0.000 0.000
O 0.000 0.500 0.000
```